1.
An optimized crystal structure of Hf2SiS, computed with PBE.

a b c (Å): 4.621 4.621 4.621
angles (deg): 60.00 60.00 60.00
Fractional coordinates of all 4 atoms:
S 0.500 0.500 0.500
Si 0.000 0.000 0.000
Hf 0.750 0.750 0.750
Hf 0.250 0.250 0.250

The energy is -7.96 eV per atom. The density of states at the Fermi level comes out at 1.3921 states/eV per atom. For the energy relative to the elements, uncorrected, the calculation gives -0.60 eV/atom. For the energy above the most stable polymorph in this dataset, the calculation gives 337 meV per atom.



2.
An optimized crystal structure of SrAgCl2, computed with PBE.

a b c (Å): 8.659 8.659 8.659
angles (deg): 28.68 28.68 28.68
Fractional coordinates of all 4 atoms:
Ag 0.500 0.500 0.500
Cl 0.889 0.889 0.889
Cl 0.111 0.111 0.111
Sr 0.000 0.000 0.000

The energy is -2.98 eV per atom. The density of states at the Fermi level comes out at 0.2629 states/eV per atom. For the energy relative to the elements, uncorrected, the calculation gives -0.92 eV/atom. For the energy above the most stable polymorph in this dataset, the calculation gives 408 meV per atom.



3.
An optimized crystal structure of Sr2VCrW, computed with PBE.

a b c (Å): 5.872 4.355 5.872
angles (deg): 90.00 90.00 90.00
Last column: magnetic moment on the atom in μB.
Fractional coordinates of all 5 atoms:
Sr 0.500 0.000 0.000  0.01
Sr 0.000 0.000 0.500  0.01
V 0.500 0.500 0.500  -0.92
W 0.000 0.500 0.000  0.04
Cr 0.000 0.000 0.000  0.18

The energy is -5.21 eV per atom. The density of states at the Fermi level comes out at 2.5094 states/eV per atom. The calculation puts the energy of formation from the pure elements at 1.80 eV per atom.



4.
An optimized crystal structure of CeHoZn2, computed with PBE.

a b c (Å): 3.527 3.527 7.402
angles (deg): 90.00 90.00 90.00
Last column: magnetic moment on the atom in μB.
Fractional coordinates of all 4 atoms:
Ho 0.500 0.500 0.000  -0.01
Zn 0.000 0.000 0.234  0.01
Zn 0.000 0.000 0.766  0.01
Ce 0.500 0.500 0.500  0.69

The energy is -3.52 eV per atom. The density of states at the Fermi level comes out at 1.9520 states/eV per atom. The calculation puts the energy of formation from the pure elements at -0.26 eV per atom.



5.
An optimized crystal structure of V6NiH3, computed with PBE.

a b c (Å): 2.556 9.254 8.804
angles (deg): 107.78 90.00 90.00
Fractional coordinates of all 20 atoms:
V 0.250 0.253 0.797
V 0.250 0.580 0.909
V 0.750 0.431 0.610
V 0.250 0.878 0.499
V 0.250 0.133 0.023
V 0.250 0.569 0.390
V 0.750 0.420 0.091
V 0.750 0.706 0.677
V 0.750 0.747 0.203
V 0.750 0.122 0.501
V 0.750 0.867 0.977
V 0.250 0.294 0.323
H 0.250 0.275 0.590
H 0.250 0.582 0.138
H 0.250 0.750 0.840
H 0.750 0.418 0.862
H 0.750 0.250 0.160
H 0.750 0.725 0.410
Ni 0.750 0.003 0.759
Ni 0.250 0.997 0.241

The energy is -7.11 eV per atom. The density of states at the Fermi level comes out at 0.8533 states/eV per atom.



6.
An optimized crystal structure of Be2ZnW, computed with PBE.

a b c (Å): 4.290 4.290 4.290
angles (deg): 128.36 128.36 76.05
Fractional coordinates of all 4 atoms:
Be 0.000 0.000 0.000
Be 0.500 0.500 0.000
Zn 0.750 0.250 0.500
W 0.250 0.750 0.500

The energy is -5.07 eV per atom. The density of states at the Fermi level comes out at 0.4043 states/eV per atom. The calculation puts the energy of formation from the pure elements at 0.35 eV per atom.



7.
An optimized crystal structure of HPd4, computed with PBE.

a b c (Å): 4.702 5.622 5.616
angles (deg): 59.94 90.00 90.00
Fractional coordinates of all 10 atoms:
Pd 0.747 0.833 0.335
Pd 0.753 0.333 0.335
Pd 0.250 0.665 0.171
Pd 0.750 0.835 0.829
Pd 0.247 0.667 0.665
Pd 0.250 0.165 0.171
Pd 0.253 0.167 0.665
Pd 0.750 0.335 0.829
H 0.000 0.500 0.000
H 0.500 0.000 0.000

The energy is -4.84 eV per atom. The density of states at the Fermi level comes out at 1.6916 states/eV per atom. For the energy above the most stable polymorph in this dataset, the calculation gives 16 meV per atom.



8.
An optimized crystal structure of Na2CaTc, computed with PBE.

a b c (Å): 4.292 4.292 12.320
angles (deg): 79.97 79.97 90.00
Last column: magnetic moment on the atom in μB.
Fractional coordinates of all 8 atoms:
Tc 0.750 0.250 0.500  2.34
Tc 0.000 0.000 0.000  2.34
Ca 0.500 0.500 0.000  -0.04
Ca 0.250 0.750 0.500  -0.04
Na 0.645 0.125 0.250  -0.01
Na 0.875 0.895 0.750  -0.01
Na 0.375 0.355 0.750  -0.01
Na 0.105 0.625 0.250  -0.01

The energy is -2.85 eV per atom. The density of states at the Fermi level comes out at 1.5047 states/eV per atom. For the energy above the most stable polymorph in this dataset, the calculation gives 0 meV per atom. The calculation puts the energy of formation from the pure elements at 0.90 eV per atom.



9.
An optimized crystal structure of Ac6TbNd8, computed with PBE.

a b c (Å): 9.210 9.210 9.210
angles (deg): 62.74 62.74 62.74
Fractional coordinates of all 15 atoms:
Ac 0.090 0.543 0.239
Ac 0.239 0.090 0.543
Ac 0.910 0.457 0.761
Ac 0.543 0.239 0.090
Ac 0.761 0.910 0.457
Ac 0.457 0.761 0.910
Nd 0.238 0.888 0.293
Nd 0.762 0.112 0.707
Nd 0.575 0.575 0.575
Nd 0.293 0.238 0.888
Nd 0.112 0.707 0.762
Nd 0.888 0.293 0.238
Nd 0.707 0.762 0.112
Nd 0.425 0.425 0.425
Tb 0.000 0.000 0.000

The energy is -4.38 eV per atom. The density of states at the Fermi level comes out at 1.5658 states/eV per atom. The calculation puts the energy of formation from the pure elements at 0.11 eV per atom.



10.
An optimized crystal structure of PmEuGe2, computed with PBE.

a b c (Å): 3.447 3.447 8.329
angles (deg): 90.00 90.00 90.00
Last column: magnetic moment on the atom in μB.
Fractional coordinates of all 4 atoms:
Ge 0.000 0.000 0.754  -0.03
Ge 0.000 0.000 0.246  -0.03
Pm 0.500 0.500 0.000  -0.02
Eu 0.500 0.500 0.500  6.79

The energy is -6.66 eV per atom. The density of states at the Fermi level comes out at 0.6867 states/eV per atom. The calculation puts the energy of formation from the pure elements at -0.60 eV per atom.



11.
An optimized crystal structure of AlTcBr2, computed with PBE.

a b c (Å): 3.450 3.450 7.782
angles (deg): 90.00 90.00 90.00
Last column: magnetic moment on the atom in μB.
Fractional coordinates of all 4 atoms:
Al 0.500 0.500 0.750  0.03
Br 0.000 0.000 0.472  0.12
Br 0.000 0.000 0.028  0.12
Tc 0.500 0.500 0.250  3.26

The energy is -3.75 eV per atom. The density of states at the Fermi level comes out at 0.3930 states/eV per atom. For the energy relative to the elements, uncorrected, the calculation gives 0.61 eV/atom. For the energy above the most stable polymorph in this dataset, the calculation gives 815 meV per atom.



12.
An optimized crystal structure of KMnTl2Br6, computed with PBE.

a b c (Å): 7.763 8.199 8.442
angles (deg): 55.98 59.27 58.05
Last column: magnetic moment on the atom in μB.
Fractional coordinates of all 10 atoms:
Mn 0.316 0.316 0.051  3.71
Br 0.585 0.216 0.193  -0.02
Br 0.032 0.610 0.233  0.05
Br 0.047 0.416 0.911  -0.02
Br 0.174 0.043 0.355  -0.02
Br 0.458 0.589 0.748  -0.02
Br 0.600 0.022 0.869  0.05
K 0.816 0.816 0.551  0.00
Tl 0.610 0.598 0.264  0.01
Tl 0.022 0.034 0.839  0.01

The energy is -3.44 eV per atom. For the energy relative to the elements, uncorrected, the calculation gives -0.94 eV/atom.



13.
An optimized crystal structure of ThFeSi2, computed with PBE.

a b c (Å): 4.110 6.738 10.077
angles (deg): 90.00 90.00 90.00
Fractional coordinates of all 16 atoms:
Si 0.250 0.828 0.581
Si 0.250 0.843 0.182
Si 0.750 0.172 0.419
Si 0.750 0.657 0.682
Si 0.750 0.672 0.081
Si 0.750 0.157 0.818
Si 0.250 0.328 0.919
Si 0.250 0.343 0.318
Th 0.750 0.668 0.376
Th 0.250 0.332 0.624
Th 0.750 0.168 0.124
Th 0.250 0.832 0.876
Fe 0.250 0.505 0.113
Fe 0.750 0.495 0.887
Fe 0.750 0.995 0.613
Fe 0.250 0.005 0.387

The energy is -7.38 eV per atom. The density of states at the Fermi level comes out at 0.4842 states/eV per atom. For the energy relative to the elements, uncorrected, the calculation gives -0.70 eV/atom.



14.
An optimized crystal structure of CuNi2HPd, computed with PBE.

a b c (Å): 3.667 3.667 3.859
angles (deg): 90.00 90.00 90.00
Last column: magnetic moment on the atom in μB.
Fractional coordinates of all 5 atoms:
Cu 0.500 0.500 0.500  0.03
Pd 0.000 0.000 0.500  0.12
Ni 0.000 0.500 0.000  0.42
Ni 0.500 0.000 0.000  0.42
H 0.000 0.000 0.000  0.00

The energy is -4.84 eV per atom. The density of states at the Fermi level comes out at 1.0024 states/eV per atom. For the energy above the most stable polymorph in this dataset, the calculation gives 0 meV per atom.



15.
An optimized crystal structure of Ca2AsCl, computed with PBE.

a b c (Å): 7.445 7.423 9.352
angles (deg): 104.58 104.68 111.37
Fractional coordinates of all 16 atoms:
Ca 0.847 0.068 0.126
Ca 0.046 0.326 0.623
Ca 0.153 0.932 0.874
Ca 0.279 0.558 0.126
Ca 0.423 0.203 0.377
Ca 0.954 0.674 0.377
Ca 0.721 0.442 0.874
Ca 0.577 0.797 0.623
Cl 0.444 0.694 0.889
Cl 0.681 0.931 0.361
Cl 0.556 0.306 0.111
Cl 0.319 0.069 0.639
As 0.192 0.442 0.385
As 0.808 0.558 0.615
As 0.068 0.818 0.135
As 0.932 0.182 0.865

The energy is -4.29 eV per atom. For the energy relative to the elements, uncorrected, the calculation gives -1.67 eV/atom.



16.
An optimized crystal structure of YPu2Rh9, computed with PBE.

a b c (Å): 5.252 5.252 9.285
angles (deg): 73.57 73.57 60.00
Last column: magnetic moment on the atom in μB.
Fractional coordinates of all 12 atoms:
Rh 0.415 0.415 0.250  -0.22
Rh 0.585 0.081 0.750  -0.22
Rh 0.500 0.500 0.500  -0.31
Rh 0.585 0.585 0.750  -0.22
Rh 0.667 0.667 0.000  -0.16
Rh 0.919 0.415 0.250  -0.22
Rh 0.415 0.919 0.250  -0.22
Rh 0.081 0.585 0.750  -0.22
Rh 0.333 0.333 0.000  -0.16
Y 0.000 0.000 0.000  0.07
Pu 0.140 0.140 0.580  4.95
Pu 0.860 0.860 0.420  4.95

The energy is -8.86 eV per atom. The density of states at the Fermi level comes out at 2.1418 states/eV per atom. The calculation puts the energy of formation from the pure elements at -0.42 eV per atom.



17.
An optimized crystal structure of CeZr2Cu, computed with PBE.

a b c (Å): 4.844 4.844 4.845
angles (deg): 60.01 60.01 60.00
Fractional coordinates of all 4 atoms:
Cu 0.500 0.500 0.500
Zr 0.750 0.750 0.750
Zr 0.250 0.250 0.250
Ce 0.000 0.000 0.000

The energy is -6.59 eV per atom. The density of states at the Fermi level comes out at 1.8451 states/eV per atom. For the energy above the most stable polymorph in this dataset, the calculation gives 209 meV per atom. The calculation puts the energy of formation from the pure elements at 0.19 eV per atom.



18.
An optimized crystal structure of CeU4S8, computed with PBE.

a b c (Å): 8.094 8.094 8.094
angles (deg): 60.00 60.00 60.00
Last column: magnetic moment on the atom in μB.
Fractional coordinates of all 13 atoms:
S 0.613 0.613 0.162  -0.07
S 0.136 0.136 0.591  -0.07
S 0.162 0.613 0.613  -0.07
S 0.591 0.136 0.136  -0.07
S 0.136 0.591 0.136  -0.07
S 0.613 0.613 0.613  -0.07
S 0.136 0.136 0.136  -0.07
S 0.613 0.162 0.613  -0.07
U 0.886 0.371 0.371  2.46
U 0.371 0.371 0.886  2.46
U 0.371 0.371 0.371  2.46
U 0.371 0.886 0.371  2.46
Ce 0.750 0.750 0.750  1.14

The energy is -7.88 eV per atom. The density of states at the Fermi level comes out at 1.5184 states/eV per atom. For the energy relative to the elements, uncorrected, the calculation gives -1.41 eV/atom.



19.
An optimized crystal structure of I3Br4Cl2, computed with PBE.

a b c (Å): 10.319 12.726 12.726
angles (deg): 74.55 47.84 47.84
Last column: magnetic moment on the atom in μB.
Fractional coordinates of all 18 atoms:
Br 0.410 0.493 0.784  0.01
Br 0.078 0.808 0.049  0.15
Br 0.922 0.192 0.951  0.15
Br 0.578 0.049 0.808  0.15
Br 0.422 0.951 0.192  0.15
Br 0.910 0.784 0.493  0.01
Br 0.090 0.216 0.507  0.01
Br 0.590 0.507 0.216  0.01
I 0.336 0.241 0.036  0.18
I 0.250 0.529 0.471  0.01
I 0.164 0.964 0.759  0.18
I 0.836 0.036 0.241  0.18
I 0.664 0.759 0.964  0.18
I 0.750 0.471 0.529  0.01
Cl 0.087 0.458 0.268  0.01
Cl 0.587 0.268 0.458  0.01
Cl 0.913 0.542 0.732  0.01
Cl 0.413 0.732 0.542  0.01

The energy is -1.72 eV per atom. The density of states at the Fermi level comes out at 0.2367 states/eV per atom. For the energy relative to the elements, uncorrected, the calculation gives -0.05 eV/atom.



20.
An optimized crystal structure of KBaRe, computed with PBE.

a b c (Å): 6.889 6.889 6.889
angles (deg): 154.81 137.65 49.91
Last column: magnetic moment on the atom in μB.
Fractional coordinates of all 3 atoms:
Ba 0.034 0.034 0.000  -0.02
K 0.318 0.318 0.000  0.00
Re 0.649 0.649 0.000  0.40

The energy is -3.70 eV per atom. The density of states at the Fermi level comes out at 1.1452 states/eV per atom. For the energy above the most stable polymorph in this dataset, the calculation gives 9 meV per atom. The calculation puts the energy of formation from the pure elements at 1.45 eV per atom.